<A>
# Li2SnP (PBE-GGA, relaxed)
data_Li2SnP
_chemical_formula_sum 'Li8 Sn4 P4'
_symmetry_space_group_name_H-M 'I -4 2 d'
_symmetry_Int_Tables_number 122
_symmetry_space_group_name_Hall 'I -4 2bw'
_cell_length_a 4.074
_cell_length_b 4.074
_cell_length_c 18.148
_cell_angle_alpha 90.00
_cell_angle_beta 90.00
_cell_angle_gamma 90.00
loop_
_atom_site_label
_atom_site_fract_x
_atom_site_fract_y
_atom_site_fract_z
Li1 0.213 0.250 0.125
Sn1 0.000 0.000 0.500
P1 0.000 0.000 0.000
# crystal system	tetragonal

<B>
# Li2SnP (PBE-GGA, relaxed)
data_Li2SnP
_chemical_formula_sum 'Li6 Sn3 P3'
_symmetry_space_group_name_H-M 'R -3 m'
_symmetry_Int_Tables_number 166
_symmetry_space_group_name_Hall '-R 3 2"'
_cell_length_a 4.2135
_cell_length_b 4.2135
_cell_length_c 13.9256
_cell_angle_alpha 90.00
_cell_angle_beta 90.00
_cell_angle_gamma 120.00
loop_
_atom_site_label
_atom_site_fract_x
_atom_site_fract_y
_atom_site_fract_z
Li1 0.0000 0.0000 0.2143
Sn1 0.0000 0.0000 0.0000
P1 0.0000 0.0000 0.5000
# crystal system	trigonal

Most stable to least stable, the ends of the list are <B> and <A>.

<A>
# LiTc2P2 (PBE-GGA, relaxed)
data_LiTc2P2
_chemical_formula_sum 'Li2 Tc4 P4'
_symmetry_space_group_name_H-M 'I 4/m m m'
_symmetry_Int_Tables_number 139
_symmetry_space_group_name_Hall '-I 4 2'
_cell_length_a 4.355
_cell_length_b 4.355
_cell_length_c 8.768
_cell_angle_alpha 90.00
_cell_angle_beta 90.00
_cell_angle_gamma 90.00
loop_
_atom_site_label
_atom_site_fract_x
_atom_site_fract_y
_atom_site_fract_z
Li1 0.000 0.000 0.000
Tc1 0.000 0.000 0.370
P1 0.000 0.500 0.250
# crystal system	tetragonal

<B>
# LiTc2P2 (PBE-GGA, relaxed)
data_LiTc2P2
_chemical_formula_sum 'Li2 Tc4 P4'
_symmetry_space_group_name_H-M 'I 4/m m m'
_symmetry_Int_Tables_number 139
_symmetry_space_group_name_Hall '-I 4 2'
_cell_length_a 4.064
_cell_length_b 4.064
_cell_length_c 9.241
_cell_angle_alpha 90.00
_cell_angle_beta 90.00
_cell_angle_gamma 90.00
loop_
_atom_site_label
_atom_site_fract_x
_atom_site_fract_y
_atom_site_fract_z
Li1 0.000 0.000 0.000
Tc1 0.000 0.500 0.250
P1 0.000 0.000 0.378
# crystal system	tetragonal

Most stable to least stable, the ends of the list are <B> and <A>.

<A>
# Li2TeP2 (PBE-GGA, relaxed)
data_Li2TeP2
_chemical_formula_sum 'Li4 Te2 P4'
_symmetry_space_group_name_H-M 'P 4/m b m'
_symmetry_Int_Tables_number 127
_symmetry_space_group_name_Hall '-P 4 2ab'
_cell_length_a 7.809
_cell_length_b 7.809
_cell_length_c 2.924
_cell_angle_alpha 90.00
_cell_angle_beta 90.00
_cell_angle_gamma 90.00
loop_
_atom_site_label
_atom_site_fract_x
_atom_site_fract_y
_atom_site_fract_z
Li1 0.119 0.381 0.000
Te1 0.000 0.000 0.500
P1 0.181 0.681 0.500
# crystal system	tetragonal

<B>
# Li2TeP2 (PBE-GGA, relaxed)
data_Li2TeP2
_chemical_formula_sum 'Li4 Te2 P4'
_symmetry_space_group_name_H-M 'I 4/m m m'
_symmetry_Int_Tables_number 139
_symmetry_space_group_name_Hall '-I 4 2'
_cell_length_a 4.290
_cell_length_b 4.290
_cell_length_c 9.784
_cell_angle_alpha 90.00
_cell_angle_beta 90.00
_cell_angle_gamma 90.00
loop_
_atom_site_label
_atom_site_fract_x
_atom_site_fract_y
_atom_site_fract_z
Li1 0.000 0.500 0.250
Te1 0.000 0.000 0.000
P1 0.000 0.000 0.391
# crystal system	tetragonal

Most stable to least stable, the ends of the list are <B> and <A>.

<A>
# LiTe3P (PBE-GGA, relaxed)
data_LiTe3P
_chemical_formula_sum 'Li1 Te3 P1'
_symmetry_space_group_name_H-M 'P m -3 m'
_symmetry_Int_Tables_number 221
_symmetry_space_group_name_Hall '-P 4 2 3'
_cell_length_a 5.300
_cell_length_b 5.300
_cell_length_c 5.300
_cell_angle_alpha 90.00
_cell_angle_beta 90.00
_cell_angle_gamma 90.00
loop_
_atom_site_label
_atom_site_fract_x
_atom_site_fract_y
_atom_site_fract_z
Li1 0.000 0.000 0.000
Te1 0.000 0.500 0.500
P1 0.500 0.500 0.500
# crystal system	cubic

<B>
# LiTe3P (PBE-GGA, relaxed)
data_LiTe3P
_chemical_formula_sum 'Li1 Te3 P1'
_symmetry_space_group_name_H-M 'P m -3 m'
_symmetry_Int_Tables_number 221
_symmetry_space_group_name_Hall '-P 4 2 3'
_cell_length_a 4.982
_cell_length_b 4.982
_cell_length_c 4.982
_cell_angle_alpha 90.00
_cell_angle_beta 90.00
_cell_angle_gamma 90.00
loop_
_atom_site_label
_atom_site_fract_x
_atom_site_fract_y
_atom_site_fract_z
Li1 0.000 0.000 0.000
Te1 0.000 0.000 0.500
P1 0.500 0.500 0.500
# crystal system	cubic

Most stable to least stable, the ends of the list are <A> and <B>.

<A>
# Li2TeP (PBE-GGA, relaxed)
data_Li2TeP
_chemical_formula_sum 'Li2 Te1 P1'
_symmetry_space_group_name_H-M 'P m m m'
_symmetry_Int_Tables_number 47
_cell_length_a 4.045
_cell_length_b 4.149
_cell_length_c 4.391
_cell_angle_alpha 90.00
_cell_angle_beta 90.00
_cell_angle_gamma 90.00
loop_
_symmetry_equiv_pos_as_xyz
'x,y,z'
'-x,-y,-z'
'-x,-y,z'
'x,y,-z'
'x,-y,-z'
'-x,y,z'
'-x,y,-z'
'x,-y,z'
loop_
_atom_site_label
_atom_site_fract_x
_atom_site_fract_y
_atom_site_fract_z
Li1 0.000 0.000 0.000
Li2 0.000 0.500 0.500
Te1 0.500 0.000 0.500
P1 0.500 0.500 0.000
# crystal system	orthorhombic

<B>
# Li2TeP (PBE-GGA, relaxed)
data_Li2TeP
_chemical_formula_sum 'Li2 Te1 P1'
_symmetry_space_group_name_H-M 'P m m 2'
_symmetry_Int_Tables_number 25
_cell_length_a 2.796
_cell_length_b 4.147
_cell_length_c 7.639
_cell_angle_alpha 90.00
_cell_angle_beta 90.00
_cell_angle_gamma 90.00
loop_
_symmetry_equiv_pos_as_xyz
'x,y,z'
'-x,-y,z'
'-x,y,z'
'x,-y,z'
loop_
_atom_site_label
_atom_site_fract_x
_atom_site_fract_y
_atom_site_fract_z
Li1 0.000 0.000 0.000
Li2 0.500 0.500 0.410
Te1 0.500 0.500 0.802
P1 0.000 0.000 0.328
# crystal system	orthorhombic

Most stable to least stable, the ends of the list are <A> and <B>.

<A>
# Li2TeP (PBE-GGA, relaxed)
data_Li2TeP
_chemical_formula_sum 'Li4 Te2 P2'
_symmetry_space_group_name_H-M 'I m m m'
_symmetry_Int_Tables_number 71
_symmetry_space_group_name_Hall '-I 2 2'
_cell_length_a 4.035
_cell_length_b 4.512
_cell_length_c 8.070
_cell_angle_alpha 90.00
_cell_angle_beta 90.00
_cell_angle_gamma 90.00
loop_
_atom_site_label
_atom_site_fract_x
_atom_site_fract_y
_atom_site_fract_z
Li1 0.000 0.000 0.235
Te1 0.000 0.500 0.000
P1 0.000 0.500 0.500
# crystal system	orthorhombic

<B>
# Li2TeP (PBE-GGA, relaxed)
data_Li2TeP
_chemical_formula_sum 'Li8 Te4 P4'
_symmetry_space_group_name_H-M 'F m -3 m'
_symmetry_Int_Tables_number 225
_symmetry_space_group_name_Hall '-F 4 2 3'
_cell_length_a 6.663
_cell_length_b 6.663
_cell_length_c 6.663
_cell_angle_alpha 90.00
_cell_angle_beta 90.00
_cell_angle_gamma 90.00
loop_
_atom_site_label
_atom_site_fract_x
_atom_site_fract_y
_atom_site_fract_z
Li1 0.250 0.250 0.250
Te1 0.000 0.000 0.000
P1 0.000 0.000 0.500
# crystal system	cubic

<C>
# Li2TeP (PBE-GGA, relaxed)
data_Li2TeP
_chemical_formula_sum 'Li4 Te2 P2'
_symmetry_space_group_name_H-M 'C 1 2/m 1'
_symmetry_Int_Tables_number 12
_cell_length_a 5.739
_cell_length_b 7.837
_cell_length_c 3.341
_cell_angle_alpha 90.00
_cell_angle_beta 90.56
_cell_angle_gamma 90.00
loop_
_symmetry_equiv_pos_as_xyz
'x,y,z'
'-x,-y,-z'
'-x,y,-z'
'x,-y,z'
'x+1/2,y+1/2,z'
'-x+1/2,-y+1/2,-z'
'-x+1/2,y+1/2,-z'
'x+1/2,-y+1/2,z'
loop_
_atom_site_label
_atom_site_fract_x
_atom_site_fract_y
_atom_site_fract_z
Li1 0.250 0.250 0.000
Te1 0.000 0.000 0.500
P1 0.000 0.500 0.500
# crystal system	monoclinic

Most stable to least stable, the ends of the list are <A> and <B>.

<A>
# Li2TeP (PBE-GGA, relaxed)
data_Li2TeP
_chemical_formula_sum 'Li8 Te4 P4'
_symmetry_space_group_name_H-M 'I -4 2 d'
_symmetry_Int_Tables_number 122
_symmetry_space_group_name_Hall 'I -4 2bw'
_cell_length_a 7.657
_cell_length_b 7.657
_cell_length_c 5.437
_cell_angle_alpha 90.00
_cell_angle_beta 90.00
_cell_angle_gamma 90.00
loop_
_atom_site_label
_atom_site_fract_x
_atom_site_fract_y
_atom_site_fract_z
Li1 0.197 0.250 0.125
Te1 0.000 0.000 0.500
P1 0.000 0.000 0.000
# crystal system	tetragonal

<B>
# Li2TeP (PBE-GGA, relaxed)
data_Li2TeP
_chemical_formula_sum 'Li8 Te4 P4'
_symmetry_space_group_name_H-M 'F -4 3 m'
_symmetry_Int_Tables_number 216
_symmetry_space_group_name_Hall 'F -4 2 3'
_cell_length_a 6.799
_cell_length_b 6.799
_cell_length_c 6.799
_cell_angle_alpha 90.00
_cell_angle_beta 90.00
_cell_angle_gamma 90.00
loop_
_atom_site_label
_atom_site_fract_x
_atom_site_fract_y
_atom_site_fract_z
Li1 0.000 0.000 0.000
Li2 0.250 0.250 0.250
Te1 0.250 0.250 0.750
P1 0.000 0.000 0.500
# crystal system	cubic

Most stable to least stable, the ends of the list are <A> and <B>.

<A>
# Li4TeP (PBE-GGA, relaxed)
data_Li4TeP
_chemical_formula_sum 'Li8 Te2 P2'
_symmetry_space_group_name_H-M 'P -1'
_symmetry_Int_Tables_number 2
_cell_length_a 5.329
_cell_length_b 7.266
_cell_length_c 7.459
_cell_angle_alpha 111.98
_cell_angle_beta 106.47
_cell_angle_gamma 103.27
loop_
_symmetry_equiv_pos_as_xyz
'x,y,z'
'-x,-y,-z'
loop_
_atom_site_label
_atom_site_fract_x
_atom_site_fract_y
_atom_site_fract_z
Li1 0.053 0.270 0.460
Li2 0.206 0.224 0.820
Li3 0.287 0.651 0.252
Li4 0.427 0.043 0.211
Te1 0.251 0.646 0.853
P1 0.283 0.010 0.488
# crystal system	triclinic

<B>
# Li4TeP (PBE-GGA, relaxed)
data_Li4TeP
_chemical_formula_sum 'Li16 Te4 P4'
_symmetry_space_group_name_H-M 'F -4 3 m'
_symmetry_Int_Tables_number 216
_symmetry_space_group_name_Hall 'F -4 2 3'
_cell_length_a 7.379
_cell_length_b 7.379
_cell_length_c 7.379
_cell_angle_alpha 90.00
_cell_angle_beta 90.00
_cell_angle_gamma 90.00
loop_
_atom_site_label
_atom_site_fract_x
_atom_site_fract_y
_atom_site_fract_z
Li1 0.124 0.124 0.124
Te1 0.000 0.000 0.500
P1 0.250 0.250 0.750
# crystal system	cubic

Most stable to least stable, the ends of the list are <A> and <B>.

<A>
# LiTiP2 (PBE-GGA, relaxed)
data_LiTiP2
_chemical_formula_sum 'Li3 Ti3 P6'
_symmetry_space_group_name_H-M 'R -3 m'
_symmetry_Int_Tables_number 166
_symmetry_space_group_name_Hall '-R 3 2"'
_cell_length_a 3.3171
_cell_length_b 3.3171
_cell_length_c 20.5488
_cell_angle_alpha 90.00
_cell_angle_beta 90.00
_cell_angle_gamma 120.00
loop_
_atom_site_label
_atom_site_fract_x
_atom_site_fract_y
_atom_site_fract_z
Li1 0.0000 0.0000 0.0000
Ti1 0.0000 0.0000 0.5000
P1 0.0000 0.0000 0.2443
# crystal system	trigonal

<B>
# LiTiP2 (PBE-GGA, relaxed)
data_LiTiP2
_chemical_formula_sum 'Li4 Ti4 P8'
_symmetry_space_group_name_H-M 'I -4 2 d'
_symmetry_Int_Tables_number 122
_symmetry_space_group_name_Hall 'I -4 2bw'
_cell_length_a 5.156
_cell_length_b 5.156
_cell_length_c 13.270
_cell_angle_alpha 90.00
_cell_angle_beta 90.00
_cell_angle_gamma 90.00
loop_
_atom_site_label
_atom_site_fract_x
_atom_site_fract_y
_atom_site_fract_z
Li1 0.000 0.000 0.000
Ti1 0.000 0.000 0.500
P1 0.211 0.250 0.625
# crystal system	tetragonal

<C>
# LiTiP2 (PBE-GGA, relaxed)
data_LiTiP2
_chemical_formula_sum 'Li4 Ti4 P8'
_symmetry_space_group_name_H-M 'F m -3 m'
_symmetry_Int_Tables_number 225
_symmetry_space_group_name_Hall '-F 4 2 3'
_cell_length_a 6.157
_cell_length_b 6.157
_cell_length_c 6.157
_cell_angle_alpha 90.00
_cell_angle_beta 90.00
_cell_angle_gamma 90.00
loop_
_atom_site_label
_atom_site_fract_x
_atom_site_fract_y
_atom_site_fract_z
Li1 0.000 0.000 0.000
Ti1 0.000 0.000 0.500
P1 0.250 0.250 0.250
# crystal system	cubic

Most stable to least stable, the ends of the list are <A> and <B>.

<A>
# LiTiP3 (PBE-GGA, relaxed)
data_LiTiP3
_chemical_formula_sum 'Li1 Ti1 P3'
_symmetry_space_group_name_H-M 'P m -3 m'
_symmetry_Int_Tables_number 221
_symmetry_space_group_name_Hall '-P 4 2 3'
_cell_length_a 4.704
_cell_length_b 4.704
_cell_length_c 4.704
_cell_angle_alpha 90.00
_cell_angle_beta 90.00
_cell_angle_gamma 90.00
loop_
_atom_site_label
_atom_site_fract_x
_atom_site_fract_y
_atom_site_fract_z
Li1 0.000 0.000 0.000
Ti1 0.500 0.500 0.500
P1 0.000 0.500 0.500
# crystal system	cubic

<B>
# LiTiP3 (PBE-GGA, relaxed)
data_LiTiP3
_chemical_formula_sum 'Li1 Ti1 P3'
_symmetry_space_group_name_H-M 'P m -3 m'
_symmetry_Int_Tables_number 221
_symmetry_space_group_name_Hall '-P 4 2 3'
_cell_length_a 4.287
_cell_length_b 4.287
_cell_length_c 4.287
_cell_angle_alpha 90.00
_cell_angle_beta 90.00
_cell_angle_gamma 90.00
loop_
_atom_site_label
_atom_site_fract_x
_atom_site_fract_y
_atom_site_fract_z
Li1 0.000 0.000 0.000
Ti1 0.500 0.500 0.500
P1 0.000 0.000 0.500
# crystal system	cubic

Most stable to least stable, the ends of the list are <A> and <B>.

<A>
# LiTlP2 (PBE-GGA, relaxed)
data_LiTlP2
_chemical_formula_sum 'Li2 Tl2 P4'
_symmetry_space_group_name_H-M 'I -4 m 2'
_symmetry_Int_Tables_number 119
_symmetry_space_group_name_Hall 'I -4 -2'
_cell_length_a 4.193
_cell_length_b 4.193
_cell_length_c 8.550
_cell_angle_alpha 90.00
_cell_angle_beta 90.00
_cell_angle_gamma 90.00
loop_
_atom_site_label
_atom_site_fract_x
_atom_site_fract_y
_atom_site_fract_z
Li1 0.000 0.000 0.000
Tl1 0.000 0.500 0.250
P1 0.000 0.000 0.500
P2 0.000 0.500 0.750
# crystal system	tetragonal

<B>
# LiTlP2 (PBE-GGA, relaxed)
data_LiTlP2
_chemical_formula_sum 'Li1 Tl1 P2'
_symmetry_space_group_name_H-M 'P m m m'
_symmetry_Int_Tables_number 47
_cell_length_a 3.595
_cell_length_b 3.610
_cell_length_c 6.454
_cell_angle_alpha 90.00
_cell_angle_beta 90.00
_cell_angle_gamma 90.00
loop_
_symmetry_equiv_pos_as_xyz
'x,y,z'
'-x,-y,-z'
'-x,-y,z'
'x,y,-z'
'x,-y,-z'
'-x,y,z'
'-x,y,-z'
'x,-y,z'
loop_
_atom_site_label
_atom_site_fract_x
_atom_site_fract_y
_atom_site_fract_z
Li1 0.000 0.000 0.000
Tl1 0.000 0.000 0.500
P1 0.500 0.500 0.159
# crystal system	orthorhombic

Most stable to least stable, the ends of the list are <B> and <A>.

<A>
# LiTlP2 (PBE-GGA, relaxed)
data_LiTlP2
_chemical_formula_sum 'Li4 Tl4 P8'
_symmetry_space_group_name_H-M 'F -4 3 m'
_symmetry_Int_Tables_number 216
_symmetry_space_group_name_Hall 'F -4 2 3'
_cell_length_a 6.704
_cell_length_b 6.704
_cell_length_c 6.704
_cell_angle_alpha 90.00
_cell_angle_beta 90.00
_cell_angle_gamma 90.00
loop_
_atom_site_label
_atom_site_fract_x
_atom_site_fract_y
_atom_site_fract_z
Li1 0.000 0.000 0.000
Tl1 0.250 0.250 0.750
P1 0.000 0.000 0.500
P2 0.250 0.250 0.250
# crystal system	cubic

<B>
# LiTlP2 (PBE-GGA, relaxed)
data_LiTlP2
_chemical_formula_sum 'Li1 Tl1 P2'
_symmetry_space_group_name_H-M 'P m m m'
_symmetry_Int_Tables_number 47
_cell_length_a 3.967
_cell_length_b 3.985
_cell_length_c 4.692
_cell_angle_alpha 90.00
_cell_angle_beta 90.00
_cell_angle_gamma 90.00
loop_
_symmetry_equiv_pos_as_xyz
'x,y,z'
'-x,-y,-z'
'-x,-y,z'
'x,y,-z'
'x,-y,-z'
'-x,y,z'
'-x,y,-z'
'x,-y,z'
loop_
_atom_site_label
_atom_site_fract_x
_atom_site_fract_y
_atom_site_fract_z
Li1 0.000 0.000 0.000
Tl1 0.500 0.500 0.000
P1 0.000 0.500 0.500
P2 0.500 0.000 0.500
# crystal system	orthorhombic

Most stable to least stable, the ends of the list are <B> and <A>.